Entry 1:
DFT (PBE) results for an optimized crystal structure of Na2HSe.

Values from the calculation:
symmetry = P2_1/c, No. 14
energy above the most stable polymorph in this dataset = 0 meV/atom

a = 7.221 Å, b = 6.947 Å, c = 7.242 Å
α = 90.00°, β = 100.33°, γ = 90.00°
Positions (direct):
Na  0.037  0.245  0.009
Na  0.037  0.255  0.509
Na  0.423  0.666  0.148
Na  0.423  0.834  0.648
Na  0.577  0.166  0.352
Na  0.577  0.334  0.852
Na  0.963  0.745  0.491
Na  0.963  0.755  0.991
H  0.457  0.005  0.024
H  0.457  0.495  0.524
H  0.543  0.505  0.476
H  0.543  0.995  0.976
Se  0.219  0.527  0.795
Se  0.219  0.973  0.295
Se  0.781  0.027  0.705
Se  0.781  0.473  0.205


Entry 2:
DFT (PBE) results for an optimized crystal structure of CdNiAs2Se.

Values from the calculation:
formation energy without anion corrections = 1302 meV per atom
symmetry = P4/mmm, No. 123
energy above the most stable polymorph in this dataset = 998 meV/atom

a = 5.083 Å, b = 5.083 Å, c = 5.221 Å
α = 90.00°, β = 90.00°, γ = 90.00°
Positions (direct):
Cd  0.000  0.000  0.000
Ni  0.500  0.500  0.500
As  0.000  0.500  0.000
As  0.500  0.000  0.000
Se  0.000  0.000  0.500


Entry 3:
DFT (PBE) results for an optimized crystal structure of MgNi2.

Values from the calculation:
E_tot = -24.29 eV for the cell shown
symmetry = I4/mcm, No. 140

a = 4.747 Å, b = 4.747 Å, c = 4.747 Å
α = 107.42°, β = 107.42°, γ = 113.65°
Positions (direct):
Mg  0.250  0.250  0.000
Mg  0.750  0.750  0.000
Ni  0.144  0.644  0.787
Ni  0.356  0.144  0.500
Ni  0.644  0.856  0.500
Ni  0.856  0.356  0.213


Entry 4:
DFT (PBE) results for an optimized crystal structure of Ho6TcSn2.

Values from the calculation:
E_tot = -49.94 eV for the cell shown
symmetry = P-62m, No. 189

a = 8.044 Å, b = 8.044 Å, c = 4.379 Å
α = 90.00°, β = 90.00°, γ = 120.00°
Positions (direct):
Ho  0.000  0.241  0.000
Ho  0.000  0.598  0.500
Ho  0.241  0.000  0.000
Ho  0.402  0.402  0.500
Ho  0.598  0.000  0.500
Ho  0.759  0.759  0.000
Tc  0.000  0.000  0.500
Sn  0.333  0.667  0.000
Sn  0.667  0.333  0.000


Q: Number 3 is which compound?
A: MgNi2